1.
DFT (GGA-PBEsol) results for a relaxed TlRe3C crystal.

Cell and atoms, written as extended XYZ:
```
5
Lattice="4.889 0.000 0.000 0.000 4.889 0.000 0.000 0.000 4.889" Properties=species:S:1:pos:R:3 pbc="T T T"
Tl 0.000 0.000 0.000
Re 0.000 0.000 2.444
Re 0.000 2.444 0.000
Re 2.444 0.000 0.000
C 2.444 2.444 2.444
```

Calculated values
mass density = 11.01 g cm⁻³
VASP energy = -5.516 eV/atom
ΔE_f = 4.94 eV/atom
energy above the lowest structure with this stoichiometry = 21.12 eV/f.u.



2.
DFT (GGA-PBEsol) results for a relaxed Tl2ReC crystal.

Cell and atoms, written as extended XYZ:
```
4
Lattice="0.000 3.279 3.279 3.279 0.000 3.279 3.279 3.279 0.000" Properties=species:S:1:pos:R:3 pbc="T T T"
Tl 1.640 1.640 1.640
Tl 4.919 4.919 4.919
Re 0.000 0.000 0.000
C 3.279 3.279 3.279
```

Calculated values
mass density = 14.29 g cm⁻³
VASP energy = -4.839 eV/atom
ΔE_f = 2.22 eV/atom